# Fe2SbW

Crystalline Fe2SbW at its relaxed geometry (PBE-GGA, Alexandria).

- D(E_F): 1.072 states/eV per atom
- ρ: 11.55 Mg/m³
- Crystal system: tetragonal
- SG: No. 99
- Uncorrected formation energy: 8.79 kcal/mol of atoms

Lattice parameters (Å, degrees): 3.1436 3.1447 6.0705 90.00 90.00 90.00
Closest atoms and distances in Å follow each position.
Sites, in units of the cell vectors:
W (0.5000, 0.5000, 0.7820)  5 Fe 2.64-2.69, 4 Sb 2.90
Sb (0.0000, 0.0000, 0.4761)  5 Fe 2.70-2.79, 4 W 2.90
Fe (0.0000, 0.0000, 0.0173)  4 Fe 2.55, 4 W 2.64, 1 Sb 2.79
Fe (0.5000, 0.5000, 0.2245)  4 Fe 2.55, 1 W 2.69, 4 Sb 2.70

***

# FeSb2W

Crystalline FeSb2W at its relaxed geometry (PBE-GGA, Alexandria).

- D(E_F): 0.984 states/eV per atom
- ρ: 11.43 Mg/m³
- Crystal system: tetragonal
- SG: No. 123
- Uncorrected formation energy: 12.70 kcal/mol of atoms

Lattice parameters (Å, degrees): 7.3063 4.5976 3.3198 90.04 62.92 129.07
Closest atoms and distances in Å follow each position.
Sites, in units of the cell vectors:
Sb (0.0000, 0.0000, 0.0000)  4 Fe 2.83-2.84, 4 W 2.83-2.84
Sb (0.5000, 0.0000, 0.5000)  4 W 2.83-2.84, 4 Fe 2.83-2.84
W (0.0000, 0.5000, 0.5000)  8 Sb 2.83-2.84
Fe (0.5000, 0.5000, 0.0000)  8 Sb 2.83-2.84

***

# FeSbW2

Crystalline FeSbW2 at its relaxed geometry (PBE-GGA, Alexandria).

- D(E_F): 0.897 states/eV per atom
- ρ: 14.14 Mg/m³
- Crystal system: orthorhombic
- SG: No. 44
- Uncorrected formation energy: 10.44 kcal/mol of atoms

Lattice parameters (Å, degrees): 5.0909 5.0909 4.4759 63.98 63.98 38.57
Closest atoms and distances in Å follow each position.
Sites, in units of the cell vectors:
Fe (0.5004, 0.5004, 0.4994)  2 Sb 2.63, 6 W 2.66-2.80
W (0.7576, 0.7576, 0.7426)  2 Fe 2.66, 2 W 2.74, 4 Sb 2.80
W (0.0039, 0.0039, 0.9959)  3 W 2.74-3.06, 4 Fe 2.80, 4 Sb 2.82-3.00
Sb (0.2381, 0.2381, 0.2621)  2 Fe 2.63, 6 W 2.80-2.82

***

# FeSb2W

Crystalline FeSb2W at its relaxed geometry (PBE-GGA, Alexandria).

- D(E_F): 0.706 states/eV per atom
- ρ: 9.16 Mg/m³
- Crystal system: trigonal
- SG: No. 160
- Uncorrected formation energy: 9.81 kcal/mol of atoms

Lattice parameters (Å, degrees): 10.7378 10.7378 10.7378 16.55 16.55 16.55
Closest atoms and distances in Å follow each position.
Sites, in units of the cell vectors:
Sb (0.0281, 0.0281, 0.0281)  3 Fe 2.75
Sb (0.2250, 0.2250, 0.2250)  3 W 2.90, 6 Sb 3.09
W (0.4863, 0.4863, 0.4863)  3 Fe 2.59
Fe (0.7606, 0.7606, 0.7606)  3 W 2.59, 3 Sb 2.75